Entry 1:
This record from Alexandria describes SrTiIn2 after structural relaxation. The functional is PBE-GGA.

Cell: 5.1804 5.1804 10.6701 Å, 75.95 75.95 90.00°
Each line ends with the local moment (μB).
Atoms (fractional coordinates):
Sr  0.0000  0.0000  0.0000  0.04
Sr  0.7500  0.2500  0.5000  0.04
Ti  0.5000  0.5000  0.0000  1.50
Ti  0.2500  0.7500  0.5000  1.49
In  0.5020  0.1250  0.2500  0.01
In  0.2480  0.6250  0.2500  0.01
In  0.3750  0.4980  0.7500  -0.01
In  0.8750  0.7520  0.7500  0.00

**DFT total energy**: -3.454 eV/atom
**E_form**: 0.310 eV per atom
**SG**: I-42d

=====

Entry 2:
This record from Alexandria describes SrTi3In after structural relaxation. The functional is PBE-GGA.

Cell: 4.8211 4.8211 4.8211 Å, 90.00 90.00 90.00°
Each line ends with the local moment (μB).
Atoms (fractional coordinates):
Sr  0.0000  0.0000  0.0000  0.01
Ti  0.0000  0.5000  0.0000  0.38
Ti  0.0000  0.0000  0.5000  0.23
Ti  0.5000  0.0000  0.0000  0.38
In  0.5000  0.5000  0.5000  -0.02

**Relative energy among the computed polymorphs**: 0.750 eV/atom
**DFT total energy**: -3.924 eV/atom
**E_form**: 1.697 eV per atom
**SG**: Pm-3m

=====

Entry 3:
This record from Alexandria describes Sr3TiIn after structural relaxation. The functional is PBE-GGA.

Cell: 6.1096 6.1096 6.1096 Å, 90.00 90.00 90.00°
Each line ends with the local moment (μB).
Atoms (fractional coordinates):
Sr  0.0000  0.5000  0.0000  0.11
Sr  0.0000  0.0000  0.5000  0.11
Sr  0.5000  0.0000  0.0000  0.07
Ti  0.0000  0.0000  0.0000  2.01
In  0.5000  0.5000  0.5000  -0.12

**Relative energy among the computed polymorphs**: 0.000 eV/atom
**DFT total energy**: -2.480 eV/atom
**E_form**: 0.656 eV per atom
**SG**: Pm-3m

=====

Entry 4:
This record from Alexandria describes SrTiVIn2 after structural relaxation. The functional is PBE-GGA.

Cell: 5.2079 5.0802 5.2079 Å, 90.00 90.00 90.00°
Atoms (fractional coordinates):
Sr  0.0000  0.5000  0.0000
V  0.0000  0.0000  0.0000
Ti  0.5000  0.5000  0.5000
In  0.0000  0.0000  0.5000
In  0.5000  0.0000  0.0000

**DFT total energy**: -3.818 eV/atom
**E_form**: 1.017 eV per atom
**SG**: P4/mmm

=====

Repeat the fourth record exactly.
This record from Alexandria describes SrTiVIn2 after structural relaxation. The functional is PBE-GGA.

Cell: 5.2079 5.0802 5.2079 Å, 90.00 90.00 90.00°
Atoms (fractional coordinates):
Sr  0.0000  0.5000  0.0000
V  0.0000  0.0000  0.0000
Ti  0.5000  0.5000  0.5000
In  0.0000  0.0000  0.5000
In  0.5000  0.0000  0.0000

**DFT total energy**: -3.818 eV/atom
**E_form**: 1.017 eV per atom
**SG**: P4/mmm